TlGa8Ag6 | GGA-PBE | optimized geometry

The structure in extended XYZ format:
```
15
Lattice="3.950 2.281 5.332 -3.950 2.281 5.332 0.000 -4.562 5.332" Properties=species:S:1:pos:R:3 pbc="T T T"
Tl 0.000 0.000 0.000
Ga -2.585 0.025 7.578
Ga -1.314 -2.227 8.418
Ga 0.000 0.000 3.537
Ga 1.271 -2.251 7.578
Ga -1.271 2.251 8.418
Ga 0.000 0.000 12.459
Ga 1.314 2.227 7.579
Ga 2.585 -0.025 8.418
Ag -0.654 -1.589 5.751
Ag -1.049 1.361 5.751
Ag -1.703 -0.228 10.245
Ag 1.703 0.228 5.751
Ag 1.049 -1.361 10.245
Ag 0.654 1.589 10.245
```

Results
* final energy: -43.4 eV per cell
* M_tot: 0.00 μB per cell
* crystal system: trigonal
* SG: R-3 (148)
* energy of formation: 0.0207 eV per atom